# 1
K4LaSm3Se8 | PBE | optimized geometry

Results
M_tot in μB/f.u.: 0.00
Formation energy (no corrections) in eV/f.u.: -28.42
Final energy in eV per cell: -79.772

abc: 9.1808 9.1808 9.1808
angles: 56.35 56.35 56.35
Fractional coordinates of all 16 atoms:
K  0.0000  0.0000  0.0000
K  0.0000  0.5000  0.5000
K  0.5000  0.0000  0.5000
K  0.5000  0.5000  0.0000
La  0.5000  0.5000  0.5000
Sm  0.0000  0.0000  0.5000
Sm  0.0000  0.5000  0.0000
Sm  0.5000  0.0000  0.0000
Se  0.2309  0.7396  0.7396
Se  0.2361  0.2361  0.2361
Se  0.2604  0.2604  0.7691
Se  0.2604  0.7691  0.2604
Se  0.7396  0.2309  0.7396
Se  0.7396  0.7396  0.2309
Se  0.7639  0.7639  0.7639
Se  0.7691  0.2604  0.2604


# 2
K2LaSnSe4 | PBE | optimized geometry

Results
M_tot in μB/f.u.: 0.00
Formation energy (no corrections) in eV/f.u.: -9.93
Final energy in eV per cell: -69.991

abc: 8.8908 8.8908 8.8908
angles: 120.72 119.26 90.03
Fractional coordinates of all 16 atoms:
K  0.0000  0.0000  0.0000
K  0.5000  0.0000  0.0000
K  0.5000  0.0000  0.5000
K  0.5000  0.5000  0.5000
La  0.0000  0.5000  0.5000
La  0.5000  0.5000  0.0000
Sn  0.0000  0.0000  0.5000
Sn  0.0000  0.5000  0.0000
Se  0.2081  0.7410  0.4671
Se  0.2261  0.2590  0.9671
Se  0.2338  0.2541  0.5204
Se  0.2338  0.7134  0.9796
Se  0.7662  0.2866  0.0204
Se  0.7662  0.7459  0.4796
Se  0.7739  0.7410  0.0329
Se  0.7919  0.2590  0.5329


# 3
KSrLa2Se4 | PBE | optimized geometry

Results
M_tot in μB/f.u.: 0.00
Formation energy (no corrections) in eV/f.u.: -15.15
Final energy in eV per cell: -41.721

abc: 7.6178 4.3852 7.7677
angles: 90.00 108.88 90.00
Fractional coordinates of all 8 atoms:
K  0.0000  0.0000  0.0000
Sr  0.5000  0.5000  0.0000
La  0.0000  0.5000  0.5000
La  0.5000  0.0000  0.5000
Se  0.2508  0.0000  0.7375
Se  0.2627  0.5000  0.2716
Se  0.7373  0.5000  0.7284
Se  0.7492  0.0000  0.2625


Question: What is the formula in the third record?
Answer: KSrLa2Se4


Question: What is the formation energy (no corrections) in the second record?
Answer: -9.93 eV/f.u.